Compound: BiMoF6
Source: Alexandria via LeMat-Bulk
Functional: PBE+U
Structure: relaxed

a = 5.597 Å, b = 5.612 Å, c = 6.105 Å
α = 62.93°, β = 62.84°, γ = 60.27°
Space group P-1 (No. 2)
One atom of each set of equivalent atoms:
Bi 0.000 0.000 0.000 [1 per cell]
Mo 0.500 0.500 0.500 [1 per cell]
F 0.135 0.387 0.741 [2 per cell]
F 0.264 0.864 0.260 [2 per cell]
F 0.388 0.737 0.740 [2 per cell]

Summary:
crystal system = triclinic
uncorrected energy = -5.285 eV per atom
DOS(E_F) = 0.0000 states/eV per atom